Computed, not measured: a relaxed structure of Mn2CuRe at the PBE level of DFT.

a = 2.538 Å, b = 4.232 Å, c = 4.725 Å
α = 90.00°, β = 95.85°, γ = 90.00°
Fractional coordinates of all 4 atoms:
Mn (0.250, 0.000, 0.246)
Mn (0.750, 0.000, 0.754)
Cu (0.500, 0.500, 0.000)
Re (0.000, 0.500, 0.500)

Summary:
Energy above the most stable polymorph in this dataset ... 0.114 eV/atom
E ... -33.901 eV for the cell shown
Density ... 11.83 Mg/m³
Total magnetization ... 3.2 Bohr magnetons per cell
Formation enthalpy at 0 K ... 0.2456 eV/atom

***

Computed, not measured: a relaxed structure of BeTlTc3 at the PBE level of DFT.

a = 4.256 Å, b = 4.256 Å, c = 4.256 Å
α = 90.00°, β = 90.00°, γ = 90.00°
Fractional coordinates of all 5 atoms:
Be (0.000, 0.000, 0.000)
Tl (0.500, 0.500, 0.500)
Tc (0.000, 0.000, 0.500)
Tc (0.000, 0.500, 0.000)
Tc (0.500, 0.000, 0.000)

Summary:
Energy above the most stable polymorph in this dataset ... 0.000 eV/atom
E ... -33.318 eV for the cell shown
Density ... 10.93 Mg/m³
Total magnetization ... 0.8 Bohr magnetons per cell
Formation enthalpy at 0 K ... 0.7745 eV/atom

***

Computed, not measured: a relaxed structure of Ta2BeIr at the PBE level of DFT.

a = 5.139 Å, b = 5.139 Å, c = 5.139 Å
α = 137.45°, β = 137.45°, γ = 61.74°
Fractional coordinates of all 4 atoms:
Ta (0.000, 0.000, 0.000)
Ta (0.750, 0.250, 0.500)
Be (0.250, 0.750, 0.500)
Ir (0.500, 0.500, 0.000)

Summary:
E ... -36.935 eV for the cell shown
Density ... 15.24 Mg/m³
Total magnetization ... 0.0 Bohr magnetons per cell
Formation enthalpy at 0 K ... -0.1605 eV/atom